A relaxed LiYbW2O8 crystal. Source: the Alexandria database, functional GGA+U.

Output
The value obtained for the density of states at the Fermi level is 1.2054 states/eV/atom. The calculated total energy comes out at -168.6 eV for the cell shown.

Structure (POSCAR):
```
LiYbW2O8
1.0
-2.599 -0.666 5.384
-2.316 -4.217 -1.640
5.680 -9.379 1.581
O W Li Yb
16 4 2 2
direct
0.907 0.838 0.108 O
0.359 0.269 0.632 O
0.093 0.162 0.892 O
0.635 0.223 0.887 O
0.892 0.341 0.598 O
0.907 0.162 0.392 O
0.635 0.777 0.613 O
0.641 0.731 0.368 O
0.093 0.838 0.608 O
0.359 0.731 0.868 O
0.108 0.341 0.098 O
0.641 0.269 0.132 O
0.108 0.659 0.402 O
0.892 0.659 0.902 O
0.365 0.223 0.387 O
0.365 0.777 0.113 O
0.831 0.762 0.490 W
0.831 0.238 0.010 W
0.169 0.762 0.990 W
0.169 0.238 0.510 W
0.263 0.500 0.750 Li
0.737 0.500 0.250 Li
0.338 0.000 0.250 Yb
0.662 0.000 0.750 Yb
```